1) Material: La2InPb2
Method: DFT, PBE
State: relaxed

Output
The space group is P4/mbm (127).

Cell lengths 8.7531, 8.7531, 4.2830 Å; angles 90.00, 90.00, 90.00 degrees
Positions (direct):
Pb 0.1764 0.6764 0.5000
Pb 0.6764 0.8236 0.5000
Pb 0.8236 0.3236 0.5000
Pb 0.3236 0.1764 0.5000
In 0.0000 0.0000 0.0000
In 0.5000 0.5000 0.0000
La 0.3714 0.8714 0.0000
La 0.8714 0.6286 0.0000
La 0.6286 0.1286 0.0000
La 0.1286 0.3714 0.0000

***

2) Material: La2InPb2
Method: DFT, PBE
State: relaxed

Output
The space group is P4/mbm (127).

Cell lengths 8.2634, 8.2634, 4.7135 Å; angles 90.00, 90.00, 90.00 degrees
Positions (direct):
Pb 0.3687 0.8687 0.0000
Pb 0.8687 0.6313 0.0000
Pb 0.6313 0.1313 0.0000
Pb 0.1313 0.3687 0.0000
In 0.0000 0.0000 0.0000
In 0.5000 0.5000 0.0000
La 0.1743 0.6743 0.5000
La 0.6743 0.8257 0.5000
La 0.8257 0.3257 0.5000
La 0.3257 0.1743 0.5000

***

Stability summary - winner: 2); margin: 17.0 kJ/mol of atoms.

***

1) Material: LaInPb3
Method: DFT, PBE
State: relaxed

Output
The space group is Cmcm (63).

Cell lengths 7.7700, 7.7700, 11.0990 Å; angles 90.00, 90.00, 74.60 degrees
Positions (direct):
La 0.8818 0.8818 0.2500
La 0.1182 0.1182 0.7500
La 0.3641 0.3641 0.2500
La 0.6359 0.6359 0.7500
In 0.5000 0.0000 0.0000
In 0.5000 0.0000 0.5000
In 0.0000 0.5000 0.0000
In 0.0000 0.5000 0.5000
Pb 0.8147 0.4605 0.2500
Pb 0.1853 0.5395 0.7500
Pb 0.5395 0.1853 0.7500
Pb 0.4605 0.8147 0.2500
Pb 0.1110 0.1110 0.4114
Pb 0.8890 0.8890 0.9114
Pb 0.8890 0.8890 0.5886
Pb 0.1110 0.1110 0.0886
Pb 0.3291 0.6709 0.0000
Pb 0.6709 0.3291 0.5000
Pb 0.6709 0.3291 0.0000
Pb 0.3291 0.6709 0.5000

***

2) Material: LaInPb3
Method: DFT, PBE
State: relaxed

Output
The space group is Cmcm (63).

Cell lengths 6.1402, 6.7765, 9.0848 Å; angles 111.90, 90.00, 90.00 degrees
Positions (direct):
La 0.7500 0.1781 0.3562
La 0.2500 0.8219 0.6438
In 0.7500 0.6782 0.3563
In 0.2500 0.3218 0.6437
Pb 0.7500 0.6006 0.7094
Pb 0.7500 0.1088 0.7094
Pb 0.2500 0.8912 0.2906
Pb 0.2500 0.3994 0.2906
Pb 0.0000 0.0000 0.0000
Pb 0.5000 0.0000 0.0000

***

Stability summary - winner: 1); margin: 0.9 kJ/mol of atoms.

***

1) Material: La2InRuPb
Method: DFT, PBE
State: relaxed

Output
The space group is P4/mmm (123).

Cell lengths 5.4154, 5.4154, 5.3107 Å; angles 90.00, 90.00, 90.00 degrees
Positions (direct):
Pb 0.0000 0.0000 0.5000
Ru 0.0000 0.0000 0.0000
In 0.5000 0.5000 0.5000
La 0.0000 0.5000 0.0000
La 0.5000 0.0000 0.0000

***

2) Material: La2InRuPb
Method: DFT, PBE
State: relaxed

Output
The space group is P4/mmm (123).

Cell lengths 5.3777, 5.3777, 5.2517 Å; angles 90.00, 90.00, 90.00 degrees
Positions (direct):
Pb 0.5000 0.5000 0.5000
Ru 0.0000 0.0000 0.0000
In 0.0000 0.0000 0.5000
La 0.0000 0.5000 0.0000
La 0.5000 0.0000 0.0000

***

Stability summary - winner: 2); margin: 7.8 kJ/mol of atoms.